Material: CaTb4Pr2
Method: DFT, PBE
State: optimized geometry

a = 3.6360 Å, b = 3.6360 Å, c = 21.1029 Å
α = 85.06°, β = 85.06°, γ = 60.00°
Last column: nearest neighbours and their distance in Å.
Sites, in units of the cell vectors:
Pr 0.5702 0.5702 0.2893  6 Tb 3.58-3.66, 6 Pr 3.64
Pr 0.4298 0.4298 0.7107  6 Tb 3.58-3.66, 6 Pr 3.64
Ca 0.0000 0.0000 0.0000  6 Ca 3.64, 6 Tb 3.80
Tb 0.8559 0.8559 0.4322  9 Tb 3.54-3.64, 3 Pr 3.66
Tb 0.7170 0.7170 0.8489  3 Pr 3.58, 6 Tb 3.64, 3 Ca 3.80
Tb 0.2830 0.2830 0.1511  3 Pr 3.58, 6 Tb 3.64, 3 Ca 3.80
Tb 0.1441 0.1441 0.5678  9 Tb 3.54-3.64, 3 Pr 3.66

Results
As for the size of the total moment: 0.000 μB per atom. The calculation puts the density at 6614 kg/m3. Its electronic total energy is -4.254 eV per atom. The value obtained for the density of states at the Fermi level is 10.76 states/eV per cell.

***

Material: Tm3Th5
Method: DFT, PBE
State: optimized geometry

a = 5.0022 Å, b = 5.0022 Å, c = 10.6829 Å
α = 103.54°, β = 103.54°, γ = 90.00°
Last column: nearest neighbours and their distance in Å.
Sites, in units of the cell vectors:
Tm 0.1242 0.1242 0.2484  10 Th 3.54-3.56, 2 Tm 3.56
Tm 0.8758 0.8758 0.7516  10 Th 3.54-3.56, 2 Tm 3.56
Tm 0.2500 0.7500 0.5000  8 Th 3.54, 4 Tm 3.56
Th 0.6254 0.6254 0.2508  6 Tm 3.54, 6 Th 3.54-3.56
Th 0.9997 0.4997 0.9995  4 Tm 3.54, 8 Th 3.54-3.56
Th 0.3746 0.3746 0.7492  6 Tm 3.54, 6 Th 3.54-3.56
Th 0.7500 0.2500 0.5000  8 Tm 3.54-3.56, 4 Th 3.54
Th 0.5003 0.0003 0.0005  4 Tm 3.54, 8 Th 3.54-3.56

Results
As for the size of the total moment: 0.000 μB per atom. The calculation puts the density at 10975 kg/m3. Its electronic total energy is -6.275 eV per atom. The value obtained for the density of states at the Fermi level is 11.44 states/eV per cell. For the distance to the lowest polymorph of the same formula, the calculation gives 0 kJ/mol of formula units.

***

| no. | calculated formation energy (eV per atom) |
| --- | --- |
| 1 | 0.044 |
| 2 | 0.039 |